SrZnCr2 | PBE | relaxed

Calculated values
Raw total energy = -4.637 eV/atom
Calculated volume = 174.0 Å³ per cell

a = 4.270 Å, b = 4.270 Å, c = 10.008 Å
α = 77.68°, β = 77.68°, γ = 90.00°
Fractional coordinates of all 8 atoms:
Cr  0.375  0.625  0.750
Cr  0.375  0.625  0.250
Cr  0.375  0.125  0.250
Cr  0.875  0.625  0.750
Sr  0.750  0.250  0.500
Sr  0.000  0.000  0.000
Zn  0.250  0.750  0.500
Zn  0.500  0.500  0.000